[1]
{
  "formula": "Lu2ScHg",
  "functional": "PBE",
  "state": "optimized geometry",
  "cell": [[4.559, 0.000, 0.000], [0.000, 4.670, 0.000], [0.000, 0.000, 4.670]],
  "species": ["Lu", "Lu", "Sc", "Hg"],
  "fractional_positions": [[0.000, 0.500, 0.000], [0.000, 0.000, 0.500], [0.500, 0.000, 0.000], [0.500, 0.500, 0.500]],
  "e_above_lowest_polymorph_mev_per_atom": 52.1,
  "delta_e_f_ev_per_fu": -0.66,
  "dft_energy_ev_per_fu": -16.3
}



[2]
{
  "formula": "LuSc2Hg",
  "functional": "PBE",
  "state": "optimized geometry",
  "cell": [[3.389, 0.000, 0.000], [0.000, 3.389, 0.000], [0.000, 0.000, 8.536]],
  "species": ["Sc", "Sc", "Hg", "Lu"],
  "fractional_positions": [[0.000, 0.000, 0.775], [0.000, 0.000, 0.225], [0.500, 0.500, 0.000], [0.500, 0.500, 0.500]],
  "e_above_lowest_polymorph_mev_per_atom": 3.1,
  "delta_e_f_ev_per_fu": -0.74,
  "dft_energy_ev_per_fu": -18.2
}



[3]
{
  "formula": "Lu2ScHg",
  "functional": "PBE",
  "state": "optimized geometry",
  "cell": [[3.487, 0.000, 0.000], [0.000, 3.487, 0.000], [0.000, 0.000, 8.486]],
  "species": ["Lu", "Lu", "Hg", "Sc"],
  "fractional_positions": [[0.000, 0.000, 0.236], [0.000, 0.000, 0.764], [0.500, 0.500, 0.000], [0.500, 0.500, 0.500]],
  "e_above_lowest_polymorph_mev_per_atom": 0.0,
  "delta_e_f_ev_per_fu": -0.87,
  "dft_energy_ev_per_fu": -16.5
}



[4]
{
  "formula": "LuSc2Hg",
  "functional": "PBE",
  "state": "optimized geometry",
  "cell": [[3.402, 0.000, 0.000], [1.701, 2.946, 0.000], [1.701, 0.982, 10.071]],
  "species": ["Sc", "Sc", "Lu", "Hg"],
  "fractional_positions": [[0.743, 0.743, 0.770], [0.257, 0.257, 0.230], [0.500, 0.500, 0.500], [0.000, 0.000, 0.000]],
  "e_above_lowest_polymorph_mev_per_atom": 81.5,
  "delta_e_f_ev_per_fu": -0.43,
  "dft_energy_ev_per_fu": -17.9
}



[5]
{
  "formula": "LuSc2Hg",
  "functional": "PBE",
  "state": "optimized geometry",
  "cell": [[4.606, 0.000, 0.000], [0.000, 4.528, 0.000], [0.000, 0.000, 4.528]],
  "species": ["Sc", "Sc", "Lu", "Hg"],
  "fractional_positions": [[0.000, 0.000, 0.500], [0.000, 0.500, 0.000], [0.500, 0.500, 0.500], [0.500, 0.000, 0.000]],
  "e_above_lowest_polymorph_mev_per_atom": 0.0,
  "delta_e_f_ev_per_fu": -0.75,
  "dft_energy_ev_per_fu": -18.2
}



[6]
{
  "formula": "Lu2ScHg",
  "functional": "PBE",
  "state": "optimized geometry",
  "cell": [[-0.446, -4.143, 3.154], [4.286, -2.430, 1.745], [1.358, 0.388, 5.032]],
  "species": ["Sc", "Lu", "Lu", "Hg"],
  "fractional_positions": [[0.500, 0.500, 0.500], [0.250, 0.250, 0.250], [0.750, 0.750, 0.750], [0.000, 0.000, 0.000]],
  "e_above_lowest_polymorph_mev_per_atom": 162.0,
  "delta_e_f_ev_per_fu": -0.22,
  "dft_energy_ev_per_fu": -15.9
}



[7]
{
  "formula": "Lu2ScHg",
  "functional": "PBE",
  "state": "optimized geometry",
  "cell": [[-0.989, -3.193, -0.558], [1.756, -1.970, -2.126], [6.789, -5.262, 7.782]],
  "species": ["Lu", "Lu", "Sc", "Hg"],
  "fractional_positions": [[0.910, 0.910, 0.271], [0.090, 0.090, 0.729], [0.500, 0.500, 0.500], [0.000, 0.000, 0.000]],
  "e_above_lowest_polymorph_mev_per_atom": 331.2,
  "delta_e_f_ev_per_fu": 0.46,
  "dft_energy_ev_per_fu": -15.2
}



[8]
{
  "formula": "SmLuScHg",
  "functional": "PBE",
  "state": "optimized geometry",
  "cell": [[5.310, 0.000, 0.000], [2.655, 4.599, 0.000], [2.655, 1.533, 4.336]],
  "species": ["Lu", "Sm", "Hg", "Sc"],
  "fractional_positions": [[0.250, 0.250, 0.250], [0.750, 0.750, 0.750], [0.500, 0.500, 0.500], [0.000, 0.000, 0.000]],
  "delta_e_f_ev_per_fu": -0.27,
  "dft_energy_ev_per_fu": -16.1
}



[9]
{
  "formula": "TbLuScHg",
  "functional": "PBE",
  "state": "optimized geometry",
  "cell": [[-4.868, -1.868, -0.803], [-1.879, -3.867, 3.057], [-3.825, 1.017, 3.488]],
  "species": ["Hg", "Lu", "Sc", "Tb"],
  "fractional_positions": [[0.500, 0.500, 0.500], [0.250, 0.250, 0.250], [0.000, 0.000, 0.000], [0.750, 0.750, 0.750]],
  "delta_e_f_ev_per_fu": -0.27,
  "dft_energy_ev_per_fu": -16.1
}



[10]
{
  "formula": "LuScTcHg",
  "functional": "PBE",
  "state": "optimized geometry",
  "cell": [[-3.828, -2.665, -1.322], [0.490, -3.432, -3.389], [-0.239, -4.682, 1.238]],
  "species": ["Lu", "Sc", "Hg", "Tc"],
  "fractional_positions": [[0.500, 0.500, 0.500], [0.000, 0.000, 0.000], [0.750, 0.750, 0.750], [0.250, 0.250, 0.250]],
  "delta_e_f_ev_per_fu": -0.91,
  "dft_energy_ev_per_fu": -22.4
}



[11]
{
  "formula": "LuScTlHg",
  "functional": "PBE",
  "state": "optimized geometry",
  "cell": [[-2.792, -1.942, -3.845], [2.223, -1.068, -4.502], [0.662, -4.882, -1.441]],
  "species": ["Sc", "Lu", "Tl", "Hg"],
  "fractional_positions": [[0.000, 0.000, 0.000], [0.500, 0.500, 0.500], [0.250, 0.250, 0.250], [0.750, 0.750, 0.750]],
  "delta_e_f_ev_per_fu": -1.38,
  "dft_energy_ev_per_fu": -14.9
}



[12]
{
  "formula": "TmLuScHg",
  "functional": "PBE",
  "state": "optimized geometry",
  "cell": [[5.241, 0.000, 0.000], [2.621, 4.539, 0.000], [2.621, 1.513, 4.279]],
  "species": ["Hg", "Lu", "Tm", "Sc"],
  "fractional_positions": [[0.500, 0.500, 0.500], [0.250, 0.250, 0.250], [0.750, 0.750, 0.750], [0.000, 0.000, 0.000]],
  "delta_e_f_ev_per_fu": -0.24,
  "dft_energy_ev_per_fu": -15.9
}